No. 1
# AlCd2PbO4

AlCd2PbO4 after structural relaxation (PBE-GGA, Alexandria).

a = 7.407 Å, b = 7.427 Å, c = 9.473 Å
α = 90.00°, β = 90.00°, γ = 90.00°
Space group Fmm2 (No. 42)
Asymmetric unit:
Al 0.000 0.000 0.000
Cd 0.250 0.250 0.250
Pb 0.000 0.000 0.499
O 0.000 0.194 0.886
O 0.195 0.000 0.114

Results
DFT total energy in eV/atom: -5.106
Formation energy without anion corrections in meV/atom: -1467
Volume in Å³/f.u.: 130.27

No. 2
# AlCdPtO6

AlCdPtO6 after structural relaxation (PBE-GGA, Alexandria).

a = 5.1128 Å, b = 5.1128 Å, c = 9.5562 Å
α = 90.00°, β = 90.00°, γ = 120.00°
Space group P-31c (No. 163)
Asymmetric unit:
Al 0.3333 0.6667 0.2500
Cd 0.0000 0.0000 0.0000
Pt 0.3333 0.6667 0.7500
O 0.0082 0.3704 0.1410

Results
DFT total energy in eV/atom: -5.576
Formation energy without anion corrections in meV/atom: -1082
Volume in Å³/f.u.: 108.17

No. 3
# PuAlCd2O6

PuAlCd2O6 after structural relaxation (PBE-GGA, Alexandria).

a = 5.5081 Å, b = 5.5081 Å, c = 14.1113 Å
α = 90.00°, β = 90.00°, γ = 120.00°
Space group R3 (No. 146, hexagonal axes)
Asymmetric unit:
Pu 0.0000 0.0000 0.0000
Al 0.0000 0.0000 0.4997
Cd 0.0000 0.0000 0.2662
Cd 0.0000 0.0000 0.7693
O 0.0126 0.4087 0.2413
O 0.0808 0.7227 0.0833

Results
DFT total energy in eV/atom: -7.035
Formation energy without anion corrections in meV/atom: -2069
Volume in Å³/f.u.: 123.59

No. 4
# PuAl2CdO8

PuAl2CdO8 after structural relaxation (PBE-GGA, Alexandria).

a = 6.708 Å, b = 6.774 Å, c = 6.197 Å
α = 90.00°, β = 90.00°, γ = 90.00°
Space group Cmmm (No. 65)
Asymmetric unit:
Pu 0.000 0.000 0.000
Al 0.000 0.500 0.245
Cd 0.000 0.000 0.500
O 0.000 0.212 0.222
O 0.159 0.500 0.500
O 0.186 0.500 0.000

Results
DFT total energy in eV/atom: -7.272
Formation energy without anion corrections in meV/atom: -2072
Volume in Å³/f.u.: 140.80

No. 5
# RbAlCdO3

RbAlCdO3 after structural relaxation (PBE-GGA, Alexandria).

a = 5.762 Å, b = 10.957 Å, c = 5.516 Å
α = 90.00°, β = 90.00°, γ = 90.00°
Space group Cmcm (No. 63)
Asymmetric unit:
Rb 0.000 0.246 0.250
Al 0.000 0.444 0.750
Cd 0.000 0.083 0.750
O 0.000 0.283 0.750
O 0.213 0.500 0.000

Results
DFT total energy in eV/atom: -5.316
Formation energy without anion corrections in meV/atom: -1899
Volume in Å³/f.u.: 87.07

No. 6
# AlCd2RuO6

AlCd2RuO6 after structural relaxation (PBE-GGA, Alexandria).

a = 5.445 Å, b = 5.445 Å, c = 3.782 Å
α = 90.00°, β = 90.00°, γ = 90.00°
Space group P4/mmm (No. 123)
Asymmetric unit:
Al 0.000 0.000 0.000
Cd 0.000 0.500 0.500
Ru 0.500 0.500 0.000
O 0.000 0.000 0.500
O 0.246 0.246 0.000
O 0.500 0.500 0.500

Results
DFT total energy in eV/atom: -5.699
Formation energy without anion corrections in meV/atom: -1239
Volume in Å³/f.u.: 112.12

No. 7
# AlCd2SbO6

AlCd2SbO6 after structural relaxation (PBE-GGA, Alexandria).

a = 5.4216 Å, b = 5.4216 Å, c = 13.4079 Å
α = 90.00°, β = 90.00°, γ = 120.00°
Space group R-3 (No. 148, hexagonal axes)
Asymmetric unit:
Al 0.0000 0.0000 0.0000
Cd 0.0000 0.0000 0.2491
Sb 0.0000 0.0000 0.5000
O 0.0061 0.5928 0.7486

Results
DFT total energy in eV/atom: -5.596
Formation energy without anion corrections in meV/atom: -1652
Volume in Å³/f.u.: 113.77

No. 8
# Sc4AlCdO

Sc4AlCdO after structural relaxation (PBE-GGA, Alexandria).

a = 6.131 Å, b = 14.853 Å, c = 6.130 Å
α = 90.00°, β = 90.00°, γ = 90.00°
Space group Cmcm (No. 63)
Asymmetric unit:
Sc 0.000 0.084 0.250
Sc 0.000 0.414 0.250
Sc 0.250 0.250 0.000
Al 0.000 0.115 0.750
Cd 0.000 0.389 0.750
O 0.000 0.250 0.250

Results
DFT total energy in eV/atom: -5.971
Formation energy without anion corrections in meV/atom: -979
Volume in Å³/f.u.: 139.56

No. 9
# ScAlCd2O

ScAlCd2O after structural relaxation (PBE-GGA, Alexandria).

a = 5.568 Å, b = 5.568 Å, c = 3.403 Å
α = 90.00°, β = 90.00°, γ = 90.00°
Space group P4/mmm (No. 123)
Asymmetric unit:
Sc 0.000 0.000 0.000
Al 0.500 0.500 0.500
Cd 0.000 0.500 0.500
O 0.500 0.500 0.000

Results
DFT total energy in eV/atom: -3.838
Formation energy without anion corrections in meV/atom: -465
Volume in Å³/f.u.: 105.49

No. 10
# Al2CdSeO6

Al2CdSeO6 after structural relaxation (PBE-GGA, Alexandria).

a = 10.265 Å, b = 9.201 Å, c = 5.923 Å
α = 90.00°, β = 109.26°, γ = 90.00°
Space group C2/c (No. 15)
Asymmetric unit:
Al 0.203 0.086 0.205
Cd 0.000 0.392 0.250
Se 0.000 0.243 0.750
O 0.105 0.378 0.674
O 0.118 0.252 0.086
O 0.177 0.034 0.468

Results
DFT total energy in eV/atom: -6.025
Formation energy without anion corrections in meV/atom: -1862
Volume in Å³/f.u.: 132.04

No. 11
# Al2CdSiO6

Al2CdSiO6 after structural relaxation (PBE-GGA, Alexandria).

a = 8.744 Å, b = 10.656 Å, c = 5.707 Å
α = 90.00°, β = 115.13°, γ = 90.00°
Space group C2/c (No. 15)
Asymmetric unit:
Al 0.129 0.078 0.162
Cd 0.000 0.393 0.250
Si 0.000 0.311 0.750
O 0.091 0.236 0.025
O 0.121 0.055 0.468
O 0.131 0.408 0.697

Results
DFT total energy in eV/atom: -6.884
Formation energy without anion corrections in meV/atom: -2527
Volume in Å³/f.u.: 120.35

No. 12
# AlCdSi2O6

AlCdSi2O6 after structural relaxation (PBE-GGA, Alexandria).

a = 10.362 Å, b = 11.306 Å, c = 5.167 Å
α = 90.00°, β = 112.44°, γ = 90.00°
Space group C2/c (No. 15)
Asymmetric unit:
Al 0.000 0.249 0.250
Cd 0.000 0.428 0.750
Si 0.220 0.086 0.696
O 0.087 0.170 0.555
O 0.131 0.340 0.202
O 0.222 0.024 0.987

Results
DFT total energy in eV/atom: -6.954
Formation energy without anion corrections in meV/atom: -2428
Volume in Å³/f.u.: 139.88

No. 13
# AlCdSiO2

AlCdSiO2 after structural relaxation (PBE-GGA, Alexandria).

a = 3.600 Å, b = 3.600 Å, c = 5.708 Å
α = 90.00°, β = 90.00°, γ = 90.00°
Space group P4/mmm (No. 123)
Asymmetric unit:
Al 0.000 0.000 0.000
Cd 0.500 0.500 0.000
Si 0.500 0.500 0.500
O 0.000 0.500 0.500

Results
DFT total energy in eV/atom: -4.566
Formation energy without anion corrections in meV/atom: -567
Volume in Å³/f.u.: 74.00

No. 14
# AlCdSnO2

AlCdSnO2 after structural relaxation (PBE-GGA, Alexandria).

a = 4.187 Å, b = 4.187 Å, c = 5.701 Å
α = 90.00°, β = 90.00°, γ = 90.00°
Space group P4/mmm (No. 123)
Asymmetric unit:
Al 0.000 0.000 0.000
Cd 0.500 0.500 0.500
Sn 0.500 0.500 0.000
O 0.000 0.500 0.500

Results
DFT total energy in eV/atom: -3.455
Formation energy without anion corrections in meV/atom: 261
Volume in Å³/f.u.: 99.93

No. 15
# SrAlCd2O4

SrAlCd2O4 after structural relaxation (PBE-GGA, Alexandria).

a = 5.257 Å, b = 5.257 Å, c = 9.446 Å
α = 90.00°, β = 90.00°, γ = 90.00°
Space group I-42m (No. 121)
Asymmetric unit:
Sr 0.000 0.000 0.000
Al 0.000 0.000 0.500
Cd 0.000 0.500 0.250
O 0.200 0.200 0.391

Results
DFT total energy in eV/atom: -5.303
Formation energy without anion corrections in meV/atom: -1917
Volume in Å³/f.u.: 130.51

No. 16
# Sr2AlCdO5

Sr2AlCdO5 after structural relaxation (PBE-GGA, Alexandria).

a = 3.454 Å, b = 13.426 Å, c = 11.111 Å
α = 90.00°, β = 90.00°, γ = 90.00°
Space group Cmc2_1 (No. 36)
Asymmetric unit:
Sr 0.000 0.092 0.000
Sr 0.000 0.151 0.354
Al 0.000 0.472 0.234
Cd 0.000 0.212 0.638
O 0.000 0.039 0.672
O 0.000 0.275 0.000
O 0.000 0.330 0.266
O 0.000 0.388 0.675
O 0.000 0.492 0.890

Results
DFT total energy in eV/atom: -5.873
Formation energy without anion corrections in meV/atom: -2227
Volume in Å³/f.u.: 128.81

No. 17
# TaAlCd2O6

TaAlCd2O6 after structural relaxation (PBE-GGA, Alexandria).

a = 5.359 Å, b = 5.469 Å, c = 9.368 Å
α = 90.00°, β = 124.82°, γ = 90.00°
Space group P2_1/c (No. 14)
Asymmetric unit:
Ta 0.000 0.000 0.000
Al 0.500 0.000 0.500
Cd 0.258 0.034 0.750
O 0.167 0.025 0.255
O 0.257 0.703 0.046
O 0.344 0.212 0.045

Results
DFT total energy in eV/atom: -6.882
Formation energy without anion corrections in meV/atom: -2164
Volume in Å³/f.u.: 112.69

No. 18
# AlCdTcO6

AlCdTcO6 after structural relaxation (PBE-GGA, Alexandria).

a = 5.0474 Å, b = 5.0474 Å, c = 9.7267 Å
α = 90.00°, β = 90.00°, γ = 120.00°
Space group P-31c (No. 163)
Asymmetric unit:
Al 0.3333 0.6667 0.2500
Cd 0.0000 0.0000 0.0000
Tc 0.3333 0.6667 0.7500
O 0.0007 0.3731 0.6427

Results
DFT total energy in eV/atom: -6.602
Formation energy without anion corrections in meV/atom: -1627
Volume in Å³/f.u.: 107.30

No. 19
# AlCd2TcO6

AlCd2TcO6 after structural relaxation (PBE-GGA, Alexandria).

a = 5.161 Å, b = 5.161 Å, c = 4.810 Å
α = 90.00°, β = 90.00°, γ = 90.00°
Space group P4mm (No. 99)
Asymmetric unit:
Al 0.000 0.000 0.000
Cd 0.000 0.500 0.446
Tc 0.500 0.500 0.001
O 0.000 0.000 0.629
O 0.247 0.247 0.119
O 0.500 0.500 0.628

Results
DFT total energy in eV/atom: -5.965
Formation energy without anion corrections in meV/atom: -1396
Volume in Å³/f.u.: 128.13